The following is a PBE-GGA calculation of a relaxed structure of CaLa2V, from the Alexandria database.

Cell and atoms, written as extended XYZ:
```
8
Lattice="-4.437 4.437 3.343 4.437 -4.437 3.343 4.437 4.437 -3.343" Properties=species:S:1:pos:R:3 pbc="T T T"
Ca 0.000 0.000 0.000
Ca 0.000 4.437 1.671
La 2.218 -1.742 2.507
La 2.695 2.218 0.836
La 2.218 6.178 -0.836
La 1.742 2.218 4.179
V 4.437 0.000 1.671
V 0.000 0.000 3.343
```

Results
M_tot: 3.37 μB per formula unit
SG: I-42d
Formation enthalpy at 0 K: 0.542 eV/atom
D(E_F): 10.40 states/eV/cell

---

The following is a PBE-GGA calculation of a relaxed structure of CaLa2Au, from the Alexandria database.

Cell and atoms, written as extended XYZ:
```
4
Lattice="-2.366 2.366 5.395 2.366 -2.366 5.395 2.366 2.366 -5.395" Properties=species:S:1:pos:R:3 pbc="T T T"
Ca 0.000 0.000 0.000
La 2.366 0.000 2.698
La 0.000 0.000 5.395
Au 0.000 2.366 2.698
```

Results
M_tot: 0.00 μB per formula unit
SG: I-4m2
Formation enthalpy at 0 K: -0.170 eV/atom
D(E_F): 6.12 states/eV/cell

---

The following is a PBE-GGA calculation of a relaxed structure of MnSe2Br, from the Alexandria database.

Cell and atoms, written as extended XYZ:
```
8
Lattice="-3.246 3.246 4.920 3.246 -3.246 4.920 3.246 3.246 -4.920" Properties=species:S:1:pos:R:3 pbc="T T T"
Mn 0.000 0.000 0.000
Mn 0.000 3.246 2.460
Se 4.870 0.885 -1.230
Se 0.885 1.623 1.230
Se -1.623 2.361 3.690
Se 2.361 1.623 6.150
Br 3.246 0.000 2.460
Br 0.000 0.000 4.920
```

Results
M_tot: 0.00 μB per formula unit
SG: I-42d
Formation energy without anion corrections: 0.02 eV per atom
D(E_F): 8.25 states/eV/cell

---

The following is a PBE-GGA calculation of a relaxed structure of Ba2NiHg, from the Alexandria database.

Cell and atoms, written as extended XYZ:
```
4
Lattice="0.000 3.874 3.874 3.874 0.000 3.874 3.874 3.874 0.000" Properties=species:S:1:pos:R:3 pbc="T T T"
Ba 0.000 0.000 0.000
Ba 1.937 1.937 1.937
Ni 5.811 5.811 5.811
Hg 3.874 3.874 3.874
```

Results
M_tot: 0.00 μB per formula unit
SG: F-43m
Formation enthalpy at 0 K: 0.138 eV/atom
D(E_F): 6.32 states/eV/cell

---

The following is a PBE-GGA calculation of a relaxed structure of AcGdAg, from the Alexandria database.

Cell and atoms, written as extended XYZ:
```
3
Lattice="0.000 3.750 3.750 3.750 0.000 3.750 3.750 3.750 0.000" Properties=species:S:1:pos:R:3 pbc="T T T"
Ac 0.000 0.000 0.000
Gd 3.750 3.750 3.750
Ag 1.875 1.875 1.875
```

Results
M_tot: 8.02 μB per formula unit
SG: F-43m
Formation enthalpy at 0 K: 0.056 eV/atom
D(E_F): 6.54 states/eV/cell

---

The following is a PBE-GGA calculation of a relaxed structure of Ac5Pr4Ho2, from the Alexandria database.

Cell and atoms, written as extended XYZ:
```
11
Lattice="9.452 0.000 0.000 0.000 3.700 0.000 -0.411 0.000 12.553" Properties=species:S:1:pos:R:3 pbc="T T T"
Ac 0.000 0.000 0.000
Ac 1.644 0.000 6.634
Ac 2.405 0.000 10.326
Ac 6.636 0.000 2.226
Ac 7.396 0.000 5.919
Pr 0.603 1.850 3.360
Pr 4.205 1.850 4.447
Pr 4.835 1.850 8.106
Pr 8.438 1.850 9.193
Ho 3.206 0.000 1.513
Ho 5.835 0.000 11.040
```

Results
M_tot: 0.00 μB per formula unit
SG: P2/m
Formation enthalpy at 0 K: 0.158 eV/atom
D(E_F): 19.99 states/eV/cell